Entry 1:
An optimized crystal structure of SrLi2Mg6. Source: the Alexandria database, functional PBE.

Cell: 9.186 9.186 9.186 Å, 60.00 60.00 60.00°
Fractional coordinates of all 18 atoms:
Sr (0.500, 0.500, 0.500)
Sr (0.750, 0.750, 0.750)
Li (0.125, 0.125, 0.125)
Li (0.125, 0.625, 0.125)
Li (0.125, 0.125, 0.625)
Li (0.625, 0.125, 0.125)
Mg (0.227, 0.227, 0.773)
Mg (0.773, 0.773, 0.227)
Mg (0.227, 0.773, 0.227)
Mg (0.227, 0.773, 0.773)
Mg (0.477, 0.477, 0.023)
Mg (0.477, 0.023, 0.023)
Mg (0.773, 0.227, 0.773)
Mg (0.023, 0.023, 0.477)
Mg (0.477, 0.023, 0.477)
Mg (0.023, 0.477, 0.477)
Mg (0.773, 0.227, 0.227)
Mg (0.023, 0.477, 0.023)

Properties
V ... 30.5 A^3/atom
Formation energy ... 0.351 eV/atom



Entry 2:
An optimized crystal structure of SrLi2Mg. Source: the Alexandria database, functional PBE.

Cell: 9.963 9.963 9.963 Å, 21.99 21.99 21.99°
Fractional coordinates of all 4 atoms:
Li (0.985, 0.985, 0.985)
Li (0.250, 0.250, 0.250)
Mg (0.514, 0.514, 0.514)
Sr (0.751, 0.751, 0.751)

Properties
Polymorph energy (0 for the lowest one) ... 0.192 eV per atom
V ... 30.4 A^3/atom
Formation energy ... 0.159 eV/atom



Entry 3:
An optimized crystal structure of Sr2Li9Mg. Source: the Alexandria database, functional PBE.

Cell: 6.089 6.089 19.216 Å, 90.00 90.00 120.00°
Fractional coordinates of all 24 atoms:
Sr (0.333, 0.667, 0.550)
Sr (0.667, 0.333, 0.050)
Sr (0.667, 0.333, 0.450)
Sr (0.333, 0.667, 0.950)
Li (0.000, 0.000, 0.000)
Li (0.000, 0.000, 0.500)
Li (0.000, 0.000, 0.250)
Li (0.000, 0.000, 0.750)
Li (0.333, 0.667, 0.250)
Li (0.667, 0.333, 0.750)
Li (0.168, 0.336, 0.134)
Li (0.664, 0.832, 0.134)
Li (0.168, 0.832, 0.134)
Li (0.832, 0.664, 0.634)
Li (0.336, 0.168, 0.634)
Li (0.832, 0.168, 0.634)
Li (0.336, 0.168, 0.866)
Li (0.832, 0.664, 0.866)
Li (0.832, 0.168, 0.866)
Li (0.664, 0.832, 0.366)
Li (0.168, 0.336, 0.366)
Li (0.168, 0.832, 0.366)
Mg (0.333, 0.667, 0.750)
Mg (0.667, 0.333, 0.250)

Properties
V ... 25.7 A^3/atom
Formation energy ... 0.047 eV/atom



Entry 4:
An optimized crystal structure of SrLi2Mg. Source: the Alexandria database, functional PBE.

Cell: 5.090 5.090 10.638 Å, 90.00 90.00 120.00°
Fractional coordinates of all 8 atoms:
Sr (0.333, 0.667, 0.250)
Sr (0.667, 0.333, 0.750)
Li (0.667, 0.333, 0.066)
Li (0.333, 0.667, 0.566)
Li (0.667, 0.333, 0.434)
Li (0.333, 0.667, 0.934)
Mg (0.000, 0.000, 0.000)
Mg (0.000, 0.000, 0.500)

Properties
Polymorph energy (0 for the lowest one) ... 0.049 eV per atom
V ... 29.8 A^3/atom
Formation energy ... 0.015 eV/atom



Entry 5:
An optimized crystal structure of Sr4LiMg5. Source: the Alexandria database, functional PBE.

Cell: 3.994 3.994 21.110 Å, 90.00 90.00 90.00°
Fractional coordinates of all 10 atoms:
Sr (0.000, 0.000, 0.184)
Sr (0.000, 0.000, 0.394)
Sr (0.000, 0.000, 0.606)
Sr (0.000, 0.000, 0.816)
Li (0.000, 0.000, 0.000)
Mg (0.500, 0.500, 0.074)
Mg (0.500, 0.500, 0.289)
Mg (0.500, 0.500, 0.500)
Mg (0.500, 0.500, 0.711)
Mg (0.500, 0.500, 0.926)

Properties
V ... 33.7 A^3/atom
Formation energy ... -0.030 eV/atom



Entry 6:
An optimized crystal structure of Sr4Li3Mg. Source: the Alexandria database, functional PBE.

Cell: 4.209 4.209 16.936 Å, 90.00 90.00 90.00°
Fractional coordinates of all 8 atoms:
Sr (0.000, 0.000, 0.876)
Sr (0.000, 0.000, 0.124)
Sr (0.000, 0.000, 0.375)
Sr (0.000, 0.000, 0.625)
Mg (0.500, 0.500, 0.000)
Li (0.500, 0.500, 0.249)
Li (0.500, 0.500, 0.500)
Li (0.500, 0.500, 0.751)

Properties
Polymorph energy (0 for the lowest one) ... 0.000 eV per atom
V ... 37.5 A^3/atom
Formation energy ... 0.002 eV/atom



Entry 7:
An optimized crystal structure of SrLi5Mg7. Source: the Alexandria database, functional PBE.

Cell: 5.545 7.925 7.925 Å, 82.77 69.52 69.52°
Fractional coordinates of all 13 atoms:
Sr (0.002, 0.998, 0.998)
Li (0.500, 0.000, 0.502)
Li (0.999, 0.000, 0.502)
Li (0.500, 0.502, 0.000)
Li (0.999, 0.502, 0.000)
Li (0.724, 0.776, 0.776)
Mg (0.644, 0.356, 0.356)
Mg (0.356, 0.644, 0.644)
Mg (0.000, 0.357, 0.643)
Mg (0.000, 0.643, 0.357)
Mg (0.280, 0.220, 0.220)
Mg (0.499, 0.781, 0.220)
Mg (0.499, 0.220, 0.781)

Properties
V ... 23.5 A^3/atom
Formation energy ... -0.045 eV/atom



Entry 8:
An optimized crystal structure of Sr3Li4Mg4. Source: the Alexandria database, functional PBE.

Cell: 7.691 7.691 7.691 Å, 109.47 109.47 109.47°
Fractional coordinates of all 11 atoms:
Sr (0.500, 0.500, 0.000)
Sr (0.500, 0.000, 0.500)
Sr (0.000, 0.500, 0.500)
Li (0.000, 0.606, 0.000)
Li (0.606, 0.000, 0.000)
Li (0.000, 0.000, 0.606)
Li (0.394, 0.394, 0.394)
Mg (0.000, 0.247, 0.000)
Mg (0.000, 0.000, 0.247)
Mg (0.247, 0.000, 0.000)
Mg (0.753, 0.753, 0.753)

Properties
V ... 31.8 A^3/atom
Formation energy ... 0.016 eV/atom



Q: The lowest formation energy belongs to which entry?
A: SrLi5Mg7



Q: formation energy of number 6 (Sr4Li3Mg)?
A: 0.002 eV/atom



Q: The lowest V belongs to which entry?
A: SrLi5Mg7